Entry 1:
Here is a relaxed structure of PmB2Ru4 from Alexandria. Energies are from PBE-GGA.

Summary:
As for the symmetry: P4_2/mnm. The value obtained for the energy is -113.809 eV for the cell shown. As for the total magnetization: 0.0 μB per formula unit. For the calculated formation energy, the calculation gives -164 kJ/mol of formula units.

abc: 3.746 7.161 7.161
angles: 90.00 90.00 90.00
Fractional positions:
1 Ru 0.500 0.169 0.577
2 Ru 0.500 0.831 0.423
3 B 0.000 0.214 0.786
4 Ru 0.000 0.077 0.331
5 Ru 0.500 0.577 0.169
6 Pm 0.500 0.000 0.000
7 Ru 0.000 0.923 0.669
8 B 0.500 0.714 0.714
9 Ru 0.500 0.423 0.831
10 B 0.000 0.786 0.214
11 Ru 0.000 0.669 0.923
12 Ru 0.000 0.331 0.077
13 Pm 0.000 0.500 0.500
14 B 0.500 0.286 0.286

Entry 2:
Here is a relaxed structure of PmB2Ru3 from Alexandria. Energies are from PBE-GGA.

Summary:
The energy above the most stable polymorph in this dataset comes out at 0 meV per atom. As for the symmetry: Imma. The value obtained for the energy is -96.965 eV for the cell shown. As for the total magnetization: 0.0 μB per formula unit. For the calculated formation energy, the calculation gives -246 kJ/mol of formula units.

abc: 5.547 6.098 6.339
angles: 118.75 115.94 90.00
Fractional positions:
1 B 0.166 0.916 0.833
2 B 0.833 0.584 0.167
3 Ru 0.000 0.750 0.000
4 Ru 0.500 0.750 0.000
5 Ru 0.000 0.250 0.000
6 Pm 0.501 0.750 0.500
7 B 0.167 0.416 0.833
8 Ru 0.500 0.250 0.000
9 Pm 0.499 0.250 0.500
10 Ru 0.000 0.500 0.500
11 B 0.834 0.084 0.167
12 Ru 0.000 0.000 0.500

Entry 3:
Here is a relaxed structure of Pm2B6Ru3 from Alexandria. Energies are from PBE-GGA.

Summary:
As for the symmetry: Cmmm. The value obtained for the energy is -81.694 eV for the cell shown. As for the total magnetization: 0.0 μB per formula unit. For the calculated formation energy, the calculation gives -415 kJ/mol of formula units.

abc: 3.761 6.010 6.010
angles: 96.71 90.00 90.00
Fractional positions:
1 Ru 0.500 0.000 0.000
2 B 0.500 0.913 0.608
3 Pm 0.000 0.722 0.278
4 B 0.500 0.615 0.615
5 Ru 0.000 0.226 0.226
6 Ru 0.000 0.774 0.774
7 Pm 0.000 0.278 0.722
8 B 0.500 0.392 0.087
9 B 0.500 0.608 0.913
10 B 0.500 0.087 0.392
11 B 0.500 0.385 0.385

Entry 4:
Here is a relaxed structure of Pm2B4Ru5 from Alexandria. Energies are from PBE-GGA.

Summary:
As for the symmetry: Fmmm. The value obtained for the energy is -87.652 eV for the cell shown. As for the total magnetization: 0.0 μB per formula unit. For the calculated formation energy, the calculation gives -488 kJ/mol of formula units.

abc: 5.557 5.601 6.421
angles: 77.61 64.36 60.26
Fractional positions:
1 B 0.536 0.667 0.261
2 Ru 0.500 0.000 0.000
3 B 0.203 0.333 0.261
4 Ru 0.000 0.500 0.000
5 Ru 0.500 0.500 0.000
6 B 0.797 0.667 0.739
7 Pm 0.858 0.000 0.285
8 Ru 0.250 0.500 0.500
9 Pm 0.142 0.000 0.715
10 Ru 0.750 0.500 0.500
11 B 0.464 0.333 0.739